# Sr3TaN3

Crystalline Sr3TaN3 at its relaxed geometry (PBE, Alexandria via LeMat-Bulk).

As for the energy: -6.883 eV per atom. The energy above the most stable polymorph in this dataset is 0.0 meV per atom. As for the formation energy from raw total energies: -0.90 eV per atom.

```
data_Sr3TaN3
_space_group_name_H-M_alt 'P 63/m'
_space_group_IT_number 176
_space_group_name_Hall '-P 6c'
_cell_length_a 7.9632
_cell_length_b 7.9632
_cell_length_c 5.5082
_cell_angle_alpha 90.00
_cell_angle_beta 90.00
_cell_angle_gamma 120.00
loop_
_atom_site_label
_atom_site_type_symbol
_atom_site_fract_x
_atom_site_fract_y
_atom_site_fract_z
Sr1 Sr 0.1196 0.3562 0.2500
Ta1 Ta 0.3333 0.6667 0.7500
N1 N 0.1377 0.3913 0.7500
```

# LaOsC3

Crystalline LaOsC3 at its relaxed geometry (PBE, Alexandria via LeMat-Bulk).

Its density of states at the Fermi level is 4.72 states/eV/f.u. As for the energy: -5.188 eV per atom. For the formation energy, the calculation gives 3577 meV per atom. The energy above the most stable polymorph in this dataset is 2815.6 meV per atom.

```
data_LaOsC3
_space_group_name_H-M_alt 'P m -3 m'
_space_group_IT_number 221
_space_group_name_Hall '-P 4 2 3'
_cell_length_a 4.238
_cell_length_b 4.238
_cell_length_c 4.238
_cell_angle_alpha 90.00
_cell_angle_beta 90.00
_cell_angle_gamma 90.00
loop_
_atom_site_label
_atom_site_type_symbol
_atom_site_fract_x
_atom_site_fract_y
_atom_site_fract_z
La1 La 0.000 0.000 0.000
Os1 Os 0.500 0.500 0.500
C1 C 0.000 0.000 0.500
```

# TbHo2Tl3Te6

Crystalline TbHo2Tl3Te6 at its relaxed geometry (PBE, Alexandria via LeMat-Bulk).

As for the energy: -4.362 eV per atom. As for the formation energy from raw total energies: -1.05 eV per atom.

```
data_TbHo2Tl3Te6
_space_group_name_H-M_alt 'C 1 2/m 1'
_space_group_IT_number 12
_cell_length_a 7.701
_cell_length_b 13.337
_cell_length_c 8.581
_cell_angle_alpha 90.00
_cell_angle_beta 107.41
_cell_angle_gamma 90.00
loop_
_space_group_symop_operation_xyz
'x,y,z'
'-x,-y,-z'
'-x,y,-z'
'x,-y,z'
'x+1/2,y+1/2,z'
'-x+1/2,-y+1/2,-z'
'-x+1/2,y+1/2,-z'
'x+1/2,-y+1/2,z'
loop_
_atom_site_label
_atom_site_type_symbol
_atom_site_fract_x
_atom_site_fract_y
_atom_site_fract_z
Tb1 Tb 0.000 0.000 0.000
Ho1 Ho 0.000 0.333 0.000
Tl1 Tl 0.000 0.166 0.500
Tl2 Tl 0.000 0.500 0.500
Te1 Te 0.236 0.500 0.213
Te2 Te 0.239 0.168 0.213
```

# Pu3Cd2In4

Crystalline Pu3Cd2In4 at its relaxed geometry (PBE, Alexandria via LeMat-Bulk).

Its density of states at the Fermi level is 27.76 states/eV/f.u. As for the energy: -6.362 eV per atom. For the formation energy, the calculation gives -164 meV per atom.

```
data_Pu3Cd2In4
_space_group_name_H-M_alt 'C c c m'
_space_group_IT_number 66
_space_group_name_Hall '-C 2 2c'
_cell_length_a 9.037
_cell_length_b 15.622
_cell_length_c 6.364
_cell_angle_alpha 90.00
_cell_angle_beta 90.00
_cell_angle_gamma 90.00
loop_
_atom_site_label
_atom_site_type_symbol
_atom_site_fract_x
_atom_site_fract_y
_atom_site_fract_z
Pu1 Pu 0.000 0.000 0.250
Pu2 Pu 0.000 0.335 0.250
Cd1 Cd 0.168 0.169 0.000
In1 In 0.163 0.168 0.500
In2 In 0.169 0.499 0.000
```

# YB2OsRu

Crystalline YB2OsRu at its relaxed geometry (PBE, Alexandria via LeMat-Bulk).

Its density of states at the Fermi level is 1.99 states/eV/f.u. As for the energy: -8.507 eV per atom. For the formation energy, the calculation gives -442 meV per atom.

```
data_YB2OsRu
_space_group_name_H-M_alt 'I -4 m 2'
_space_group_IT_number 119
_space_group_name_Hall 'I -4 -2'
_cell_length_a 4.022
_cell_length_b 4.022
_cell_length_c 9.365
_cell_angle_alpha 90.00
_cell_angle_beta 90.00
_cell_angle_gamma 90.00
loop_
_atom_site_label
_atom_site_type_symbol
_atom_site_fract_x
_atom_site_fract_y
_atom_site_fract_z
Y1 Y 0.000 0.000 0.000
B1 B 0.000 0.000 0.321
Os1 Os 0.000 0.500 0.250
Ru1 Ru 0.000 0.500 0.750
```

# ZrMoP3

Crystalline ZrMoP3 at its relaxed geometry (PBE, Alexandria via LeMat-Bulk).

Its density of states at the Fermi level is 9.98 states/eV/f.u. As for the energy: -5.921 eV per atom. For the formation energy, the calculation gives 1200 meV per atom. The energy above the most stable polymorph in this dataset is 830.7 meV per atom.

```
data_ZrMoP3
_space_group_name_H-M_alt 'P m -3 m'
_space_group_IT_number 221
_space_group_name_Hall '-P 4 2 3'
_cell_length_a 4.890
_cell_length_b 4.890
_cell_length_c 4.890
_cell_angle_alpha 90.00
_cell_angle_beta 90.00
_cell_angle_gamma 90.00
loop_
_atom_site_label
_atom_site_type_symbol
_atom_site_fract_x
_atom_site_fract_y
_atom_site_fract_z
Zr1 Zr 0.000 0.000 0.000
Mo1 Mo 0.500 0.500 0.500
P1 P 0.000 0.000 0.500
```

# LiSmEuAl

Crystalline LiSmEuAl at its relaxed geometry (PBE, Alexandria via LeMat-Bulk).

Its density of states at the Fermi level is 7.86 states/eV/f.u. As for the energy: -5.285 eV per atom. For the formation energy, the calculation gives -123 meV per atom.

```
data_LiSmEuAl
_space_group_name_H-M_alt 'F -4 3 m'
_space_group_IT_number 216
_space_group_name_Hall 'F -4 2 3'
_cell_length_a 7.556
_cell_length_b 7.556
_cell_length_c 7.556
_cell_angle_alpha 90.00
_cell_angle_beta 90.00
_cell_angle_gamma 90.00
loop_
_atom_site_label
_atom_site_type_symbol
_atom_site_fract_x
_atom_site_fract_y
_atom_site_fract_z
Li1 Li 0.000 0.000 0.000
Sm1 Sm 0.250 0.250 0.750
Eu1 Eu 0.250 0.250 0.250
Al1 Al 0.000 0.000 0.500
```

# Pr2ScAlO6

Crystalline Pr2ScAlO6 at its relaxed geometry (PBE, Alexandria via LeMat-Bulk).

Its density of states at the Fermi level is 0.00 states/eV/f.u. As for the energy: -8.275 eV per atom. As for the formation energy from raw total energies: -3.34 eV per atom.

```
data_Pr2ScAlO6
_space_group_name_H-M_alt 'P 1 21/c 1'
_space_group_IT_number 14
_cell_length_a 5.535
_cell_length_b 5.609
_cell_length_c 9.596
_cell_angle_alpha 90.00
_cell_angle_beta 124.87
_cell_angle_gamma 90.00
loop_
_space_group_symop_operation_xyz
'x,y,z'
'-x,-y,-z'
'-x,y+1/2,-z+1/2'
'x,-y+1/2,z+1/2'
loop_
_atom_site_label
_atom_site_type_symbol
_atom_site_fract_x
_atom_site_fract_y
_atom_site_fract_z
Pr1 Pr 0.239 0.041 0.249
Sc1 Sc 0.500 0.000 0.000
Al1 Al 0.000 0.000 0.500
O1 O 0.157 0.223 0.954
O2 O 0.230 0.704 0.956
O3 O 0.323 0.021 0.739
```

# MgPRu

Crystalline MgPRu at its relaxed geometry (PBE, Alexandria via LeMat-Bulk).

Its density of states at the Fermi level is 2.33 states/eV/f.u. As for the energy: -5.669 eV per atom. For the formation energy, the calculation gives -242 meV per atom.

```
data_MgPRu
_space_group_name_H-M_alt 'F -4 3 m'
_space_group_IT_number 216
_space_group_name_Hall 'F -4 2 3'
_cell_length_a 5.742
_cell_length_b 5.742
_cell_length_c 5.742
_cell_angle_alpha 90.00
_cell_angle_beta 90.00
_cell_angle_gamma 90.00
loop_
_atom_site_label
_atom_site_type_symbol
_atom_site_fract_x
_atom_site_fract_y
_atom_site_fract_z
Mg1 Mg 0.000 0.000 0.000
P1 P 0.250 0.250 0.250
Ru1 Ru 0.000 0.000 0.500
```

# TmSc3Sn3

Crystalline TmSc3Sn3 at its relaxed geometry (PBE, Alexandria via LeMat-Bulk).

Its density of states at the Fermi level is 5.93 states/eV/f.u. As for the energy: -5.574 eV per atom. For the formation energy, the calculation gives -506 meV per atom.

```
data_TmSc3Sn3
_space_group_name_H-M_alt 'P 63/m'
_space_group_IT_number 176
_space_group_name_Hall '-P 6c'
_cell_length_a 8.6327
_cell_length_b 8.6327
_cell_length_c 5.2255
_cell_angle_alpha 90.00
_cell_angle_beta 90.00
_cell_angle_gamma 120.00
loop_
_atom_site_label
_atom_site_type_symbol
_atom_site_fract_x
_atom_site_fract_y
_atom_site_fract_z
Tm1 Tm 0.3333 0.6667 0.2500
Sc1 Sc 0.0105 0.7776 0.2500
Sn1 Sn 0.0764 0.6292 0.7500
```

# K3PmU3Se8

Crystalline K3PmU3Se8 at its relaxed geometry (PBE, Alexandria via LeMat-Bulk).

Its density of states at the Fermi level is 16.93 states/eV/f.u. As for the energy: -6.019 eV per atom. As for the formation energy from raw total energies: -1.37 eV per atom.

```
data_K3PmU3Se8
_space_group_name_H-M_alt 'R -3 m'
_space_group_IT_number 166
_space_group_name_Hall '-R 3 2"'
_cell_length_a 8.4220
_cell_length_b 8.4220
_cell_length_c 23.4262
_cell_angle_alpha 90.00
_cell_angle_beta 90.00
_cell_angle_gamma 120.00
loop_
_atom_site_label
_atom_site_type_symbol
_atom_site_fract_x
_atom_site_fract_y
_atom_site_fract_z
K1 K 0.0000 0.5000 0.0000
Pm1 Pm 0.0000 0.0000 0.5000
U1 U 0.0000 0.5000 0.5000
Se1 Se 0.0000 0.0000 0.2355
Se2 Se 0.0074 0.5037 0.7650
```

# PmPrCoPt

Crystalline PmPrCoPt at its relaxed geometry (PBE, Alexandria via LeMat-Bulk).

Its density of states at the Fermi level is 2.93 states/eV/f.u. As for the energy: -6.138 eV per atom. For the formation energy, the calculation gives -469 meV per atom.

```
data_PmPrCoPt
_space_group_name_H-M_alt 'F -4 3 m'
_space_group_IT_number 216
_space_group_name_Hall 'F -4 2 3'
_cell_length_a 7.095
_cell_length_b 7.095
_cell_length_c 7.095
_cell_angle_alpha 90.00
_cell_angle_beta 90.00
_cell_angle_gamma 90.00
loop_
_atom_site_label
_atom_site_type_symbol
_atom_site_fract_x
_atom_site_fract_y
_atom_site_fract_z
Pm1 Pm 0.000 0.000 0.000
Pr1 Pr 0.000 0.000 0.500
Co1 Co 0.250 0.250 0.250
Pt1 Pt 0.250 0.250 0.750
```

Look up the energy of the sixth one.
-5.921 eV per atom

Among the records above, which one has the lowest energy?
YB2OsRu

What is the formula in the fifth record?
YB2OsRu

Copy entry 11 word for word.
# K3PmU3Se8

Crystalline K3PmU3Se8 at its relaxed geometry (PBE, Alexandria via LeMat-Bulk).

Its density of states at the Fermi level is 16.93 states/eV/f.u. As for the energy: -6.019 eV per atom. As for the formation energy from raw total energies: -1.37 eV per atom.

```
data_K3PmU3Se8
_space_group_name_H-M_alt 'R -3 m'
_space_group_IT_number 166
_space_group_name_Hall '-R 3 2"'
_cell_length_a 8.4220
_cell_length_b 8.4220
_cell_length_c 23.4262
_cell_angle_alpha 90.00
_cell_angle_beta 90.00
_cell_angle_gamma 120.00
loop_
_atom_site_label
_atom_site_type_symbol
_atom_site_fract_x
_atom_site_fract_y
_atom_site_fract_z
K1 K 0.0000 0.5000 0.0000
Pm1 Pm 0.0000 0.0000 0.5000
U1 U 0.0000 0.5000 0.5000
Se1 Se 0.0000 0.0000 0.2355
Se2 Se 0.0074 0.5037 0.7650
```